Computed, not measured: a relaxed KBa2ZnMo crystal at the GGA-PBE level of DFT.

Geometry as POSCAR:
```
KBa2ZnMo
1.0
6.518 0.000 0.000
0.000 6.518 0.000
0.000 0.000 5.203
K Ba Zn Mo
1 2 1 1
Direct
0.000 0.000 0.000
0.000 0.500 0.500
0.500 0.000 0.500
0.500 0.500 0.500
0.500 0.500 0.000
```

Computed properties:
Calculated volume ... 221.0 Å³ per cell
DFT formation energy ... 0.695 eV/atom
DFT total energy ... -13.57 eV/cell